No. 1
Sm2CoBiO6 PBE+U relaxed; V = 277 Å³ per cell; D(E_F) = 5.80 states/eV/cell
1.0
5.605 0.000 0.112
0.000 5.889 0.000
0.210 0.000 8.405
Sm Co Bi O
4 2 2 12
direct
0.030 0.934 0.255 Sm
0.530 0.566 0.755 Sm
0.970 0.066 0.745 Sm
0.470 0.434 0.245 Sm
0.500 0.000 0.000 Co
0.000 0.500 0.500 Co
0.500 0.000 0.500 Bi
0.000 0.500 0.000 Bi
0.316 0.709 0.070 O
0.816 0.791 0.570 O
0.684 0.291 0.930 O
0.184 0.209 0.430 O
0.290 0.692 0.423 O
0.790 0.808 0.923 O
0.710 0.308 0.577 O
0.210 0.192 0.077 O
0.861 0.562 0.256 O
0.361 0.938 0.756 O
0.139 0.438 0.744 O
0.639 0.062 0.244 O

No. 2
CoSnBi2O6 PBE+U relaxed; V = 264 Å³ per cell; D(E_F) = 0.00 states/eV/cell
1.0
-4.547 -3.227 -0.209
1.611 -1.920 -5.405
4.022 -5.993 3.328
Co Sn Bi O
2 2 4 12
direct
0.500 0.000 0.000 Co
0.000 0.500 0.500 Co
0.500 0.000 0.500 Sn
0.000 0.500 0.000 Sn
0.011 0.947 0.248 Bi
0.511 0.553 0.748 Bi
0.989 0.053 0.752 Bi
0.489 0.447 0.252 Bi
0.313 0.684 0.051 O
0.813 0.816 0.551 O
0.687 0.316 0.949 O
0.187 0.184 0.449 O
0.325 0.694 0.448 O
0.825 0.806 0.948 O
0.675 0.306 0.552 O
0.175 0.194 0.052 O
0.884 0.539 0.251 O
0.384 0.961 0.751 O
0.116 0.461 0.749 O
0.616 0.039 0.249 O

No. 3
Co2SnBiO6 PBE+U relaxed; V = 119 Å³ per cell
1.0
5.344 0.000 0.000
2.672 4.628 0.000
2.672 1.543 4.825
Co Sn Bi O
2 1 1 6
direct
0.527 0.527 0.418 Co
0.008 0.008 0.975 Co
0.316 0.316 0.052 Sn
0.796 0.796 0.611 Bi
0.633 0.231 0.225 O
0.231 0.910 0.225 O
0.911 0.633 0.225 O
0.337 0.742 0.761 O
0.742 0.159 0.761 O
0.159 0.337 0.761 O

No. 4
SrCoBiO4 PBE+U relaxed; V = 237 Å³ per cell
1.0
6.146 0.000 -0.182
0.000 5.896 0.000
-2.644 0.000 6.620
Sr Co Bi O
2 2 2 8
direct
0.721 0.750 0.962 Sr
0.279 0.250 0.038 Sr
0.275 0.750 0.289 Co
0.725 0.250 0.711 Co
0.813 0.750 0.523 Bi
0.187 0.250 0.477 Bi
0.942 0.492 0.764 O
0.058 0.992 0.236 O
0.058 0.508 0.236 O
0.942 0.008 0.764 O
0.479 0.750 0.164 O
0.521 0.250 0.836 O
0.492 0.750 0.574 O
0.508 0.250 0.426 O

So what do the calculations give for calculated density? Going down the list: 8.0 8.7 7.5 5.9 g/cm3.
So what do the calculations give for DFT total energy? Going down the list: -69.98 -59.47 -59.67 -41.32 eV/f.u..